Tb2Ce2Ge4Rh | GGA-PBE | relaxed

The spin magnetization is 0.128 μB per atom. The calculation puts the density of states at the Fermi level at 15.45 states/eV per cell. For the formation energy, the calculation gives -0.525 eV/atom.

The space group is I4/mmm (No. 139) and the conventional cell measures 7.259, 7.259 and 7.973 Å, with angles of 90.00, 90.00 and 90.00 degrees. Symmetry generates all atoms from Tb at (0.000, 0.500, 0.250), Ce at (0.000, 0.000, 0.175), Ge at (0.243, 0.243, 0.500) and Rh at (0.000, 0.000, 0.500).

---

CeTh2Ge3Rh4 | GGA-PBE | relaxed

The spin magnetization is 0.000 μB per atom. The calculation puts the density of states at the Fermi level at 8.00 states/eV per cell. For the formation energy, the calculation gives -0.863 eV/atom.

The space group is P-4m2 (No. 115) and the conventional cell measures 4.229, 4.229 and 11.145 Å, with angles of 90.00, 90.00 and 90.00 degrees. Symmetry generates all atoms from Ce at (0.000, 0.000, 0.000), Th at (0.000, 0.500, 0.723), Ge at (0.000, 0.500, 0.376), Ge at (0.500, 0.500, 0.000), Rh at (0.000, 0.000, 0.500), Rh at (0.000, 0.500, 0.154) and Rh at (0.500, 0.500, 0.500).

---

Ce2ThGe3Rh4 | GGA-PBE | relaxed

The spin magnetization is 0.150 μB per atom. The calculation puts the density of states at the Fermi level at 11.32 states/eV per cell. For the formation energy, the calculation gives -0.824 eV/atom.

The space group is P-4m2 (No. 115) and the conventional cell measures 4.275, 4.275 and 11.071 Å, with angles of 90.00, 90.00 and 90.00 degrees. Symmetry generates all atoms from Ce at (0.000, 0.500, 0.222), Th at (0.000, 0.000, 0.500), Ge at (0.000, 0.500, 0.879), Ge at (0.500, 0.500, 0.500), Rh at (0.000, 0.000, 0.000), Rh at (0.000, 0.500, 0.658) and Rh at (0.500, 0.500, 0.000).

---

Ce2Th2Ge4Rh | GGA-PBE | relaxed

The spin magnetization is 0.268 μB per atom. The calculation puts the density of states at the Fermi level at 22.12 states/eV per cell. For the formation energy, the calculation gives -0.494 eV/atom.

The space group is I4/mmm (No. 139) and the conventional cell measures 7.301, 7.301 and 7.992 Å, with angles of 90.00, 90.00 and 90.00 degrees. Symmetry generates all atoms from Ce at (0.000, 0.000, 0.176), Th at (0.000, 0.500, 0.250), Ge at (0.242, 0.242, 0.500) and Rh at (0.000, 0.000, 0.500).

---

Which formula does entry 2 have?
CeTh2Ge3Rh4

---

Look up the spin magnetization of the first one.
0.128 μB per atom